(P)
DFT (PBE-GGA) results for an optimized crystal structure of K2SrZr.

Properties
* V: 44.78 Å³ per atom
* M_tot: 4.52 μB/cell

Unit cell a=7.293 b=13.844 c=3.548 alpha=90.00 beta=90.00 gamma=90.00
Space group Cmmm (No. 65)
One atom of each set of equivalent atoms:
K: 0.250 0.250 0.000
Sr: 0.000 0.000 0.500
Zr: 0.000 0.500 0.500



(Q)
DFT (PBE-GGA) results for an optimized crystal structure of K2SrZr.

Properties
* V: 44.76 Å³ per atom
* M_tot: 5.71 μB/cell

Unit cell a=7.553 b=14.324 c=3.689 alpha=90.00 beta=116.21 gamma=90.00
Space group C2/m (No. 12)
One atom of each set of equivalent atoms:
K: 0.250 0.250 0.000
Sr: 0.000 0.000 0.500
Zr: 0.000 0.500 0.500



Energetically preferred structure: (Q) | next structure: +54 meV per atom



(P)
DFT (PBE-GGA) results for an optimized crystal structure of KSr2Zr.

Properties
* V: 44.01 Å³ per atom
* M_tot: 4.85 μB/cell

Unit cell a=12.292 b=3.742 c=7.707 alpha=90.00 beta=96.67 gamma=90.00
Space group C2/m (No. 12)
One atom of each set of equivalent atoms:
K: 0.000 0.000 0.000
Sr: 0.240 0.000 0.718
Zr: 0.000 0.500 0.500



(Q)
DFT (PBE-GGA) results for an optimized crystal structure of KSr2Zr.

Properties
* V: 44.12 Å³ per atom
* M_tot: 6.29 μB/cell

Unit cell a=5.467 b=5.467 c=11.809 alpha=90.00 beta=90.00 gamma=90.00
Space group I-4m2 (No. 119)
One atom of each set of equivalent atoms:
K: 0.000 0.000 0.000
Sr: 0.000 0.000 0.500
Sr: 0.000 0.500 0.750
Zr: 0.000 0.500 0.250



(R)
DFT (PBE-GGA) results for an optimized crystal structure of KSr2Zr.

Properties
* V: 44.53 Å³ per atom
* M_tot: 12.21 μB/cell

Unit cell a=8.931 b=8.931 c=8.931 alpha=90.00 beta=90.00 gamma=90.00
Space group F-43m (No. 216)
One atom of each set of equivalent atoms:
K: 0.000 0.000 0.000
Sr: 0.000 0.000 0.500
Sr: 0.250 0.250 0.750
Zr: 0.250 0.250 0.250



Energetically preferred structure: (P) | next structure: +92 meV per atom



(P)
DFT (PBE-GGA) results for an optimized crystal structure of KSr3Zr.

Properties
* V: 57.06 Å³ per atom
* M_tot: 2.98 μB/cell

Unit cell a=6.583 b=6.583 c=6.583 alpha=90.00 beta=90.00 gamma=90.00
Space group Pm-3m (No. 221)
One atom of each set of equivalent atoms:
K: 0.000 0.000 0.000
Sr: 0.000 0.500 0.500
Zr: 0.500 0.500 0.500



(Q)
DFT (PBE-GGA) results for an optimized crystal structure of KSr3Zr.

Properties
* V: 49.32 Å³ per atom
* M_tot: 2.99 μB/cell

Unit cell a=6.271 b=6.271 c=6.271 alpha=90.00 beta=90.00 gamma=90.00
Space group Pm-3m (No. 221)
One atom of each set of equivalent atoms:
K: 0.000 0.000 0.000
Sr: 0.000 0.000 0.500
Zr: 0.500 0.500 0.500



Energetically preferred structure: (P) | next structure: +603 meV per atom



(P)
DFT (PBE-GGA) results for an optimized crystal structure of K3Ta.

Properties
* V: 46.23 Å³ per atom
* M_tot: 4.48 μB/cell

Unit cell a=5.697 b=5.697 c=5.697 alpha=90.00 beta=90.00 gamma=90.00
Space group Pm-3m (No. 221)
One atom of each set of equivalent atoms:
K: 0.000 0.000 0.500
Ta: 0.500 0.500 0.500



(Q)
DFT (PBE-GGA) results for an optimized crystal structure of K3Ta.

Properties
* V: 46.35 Å³ per atom
* M_tot: 9.67 μB/cell

Unit cell a=8.1405 b=8.1405 c=6.4612 alpha=90.00 beta=90.00 gamma=120.00
Space group P6_3/mmc (No. 194)
One atom of each set of equivalent atoms:
K: 0.1777 0.3554 0.2500
Ta: 0.3333 0.6667 0.7500



Energetically preferred structure: (Q) | next structure: +24 meV per atom



(P)
DFT (PBE-GGA) results for an optimized crystal structure of K3Ta.

Properties
* V: 42.48 Å³ per atom
* M_tot: 7.54 μB/cell

Unit cell a=3.443 b=13.359 c=7.388 alpha=90.00 beta=90.00 gamma=90.00
Space group Imm2 (No. 44)
One atom of each set of equivalent atoms:
K: 0.000 0.000 0.000
K: 0.000 0.230 0.323
Ta: 0.000 0.500 0.025



(Q)
DFT (PBE-GGA) results for an optimized crystal structure of K3Ta.

Properties
* V: 37.71 Å³ per atom
* M_tot: 3.00 μB/cell

Unit cell a=3.941 b=5.300 c=14.445 alpha=90.00 beta=90.00 gamma=90.00
Space group Cmmm (No. 65)
One atom of each set of equivalent atoms:
K: 0.000 0.000 0.000
K: 0.000 0.500 0.292
Ta: 0.000 0.000 0.500



(R)
DFT (PBE-GGA) results for an optimized crystal structure of K3Ta.

Properties
* V: 36.53 Å³ per atom
* M_tot: 1.98 μB/cell

Unit cell a=3.3974 b=3.3974 c=43.8565 alpha=90.00 beta=90.00 gamma=120.00
Space group R-3m (No. 166, hexagonal axes)
One atom of each set of equivalent atoms:
K: 0.0000 0.0000 0.0000
K: 0.0000 0.0000 0.2373
Ta: 0.0000 0.0000 0.5000



Energetically preferred structure: (R) | next structure: +9 meV per atom



(P)
DFT (PBE-GGA) results for an optimized crystal structure of K3Ta.

Properties
* V: 53.06 Å³ per atom
* M_tot: 0.00 μB/cell

Unit cell a=10.642 b=18.228 c=4.376 alpha=90.00 beta=90.00 gamma=90.00
Space group Cmcm (No. 63)
One atom of each set of equivalent atoms:
K: 0.000 0.212 0.250
K: 0.211 0.407 0.750
Ta: 0.000 0.030 0.750



(Q)
DFT (PBE-GGA) results for an optimized crystal structure of K3Ta.

Properties
* V: 45.28 Å³ per atom
* M_tot: 10.19 μB/cell

Unit cell a=5.829 b=5.829 c=10.661 alpha=90.00 beta=90.00 gamma=90.00
Space group I4/mmm (No. 139)
One atom of each set of equivalent atoms:
K: 0.000 0.000 0.000
K: 0.000 0.500 0.250
Ta: 0.000 0.000 0.500



(R)
DFT (PBE-GGA) results for an optimized crystal structure of K3Ta.

Properties
* V: 36.80 Å³ per atom
* M_tot: 0.87 μB/cell

Unit cell a=3.4054 b=3.4054 c=14.6577 alpha=90.00 beta=90.00 gamma=120.00
Space group P-6m2 (No. 187)
One atom of each set of equivalent atoms:
K: 0.0000 0.0000 0.0000
K: 0.3333 0.6667 0.2896
Ta: 0.0000 0.0000 0.5000



Energetically preferred structure: (P) | next structure: +382 meV per atom